Here is Ca3Ga8Au3 after structural relaxation from Alexandria via LeMat-Bulk. Energies are from PBE.

a b c (Å): 4.3754 8.3773 8.3773
angles (deg): 73.70 74.86 74.86
Atoms (fractional coordinates):
Ca (0.5000, 0.5000, 0.5000)
Ca (0.8134, 0.1866, 0.1866)
Ca (0.1866, 0.8134, 0.8134)
Ga (0.6365, 0.0855, 0.6416)
Ga (0.3635, 0.9145, 0.3584)
Ga (0.6365, 0.6416, 0.0855)
Ga (0.3635, 0.3584, 0.9145)
Ga (0.8323, 0.7956, 0.5398)
Ga (0.1677, 0.2044, 0.4602)
Ga (0.8323, 0.5398, 0.7956)
Ga (0.1677, 0.4602, 0.2044)
Au (0.5000, 0.0000, 0.0000)
Au (0.0000, 0.7834, 0.2166)
Au (0.0000, 0.2166, 0.7834)

Output
DFT formation energy	-47.5	kJ per mole of atoms
energy relative to the lowest polymorph listed for this composition	0.0134	eV/atom
V	278.6	Å³/cell
crystal system	orthorhombic
density of states at the Fermi level	5.564	states/eV/cell